Material: CoHgIO2
Method: DFT, PBE with a Hubbard U
State: relaxed

abc: 4.1167 4.1167 7.1369
angles: 90.00 90.00 90.00
With the nearest neighbours (Å) after each atom.
Space group P4/mmm (No. 123)
Inequivalent atoms, fractional coordinates:
Co 0.0000 0.0000 0.0000 [1 per cell]  4 I 2.91
Hg 0.5000 0.5000 0.5000 [1 per cell]  4 O 2.06
I 0.5000 0.5000 0.0000 [1 per cell]  4 Co 2.91
O 0.0000 0.5000 0.5000 [2 per cell]  2 Hg 2.06

## Properties
- D(E_F) (states/eV per atom) = 1.171
- energy relative to the lowest polymorph listed for this composition (kJ/mol of atoms) = 52.7